Below is Li3La2Ni12Pt after structural relaxation, with properties calculated at the GGA-PBE level.

Summary:
formation enthalpy at 0 K	0.111	eV/atom
space-group type	R-3m (166)

a b c (Å): 9.712 9.712 9.712
angles (deg): 34.79 34.79 34.79
Sites, in units of the cell vectors:
Ni 0.116 0.567 0.116
Ni 0.588 0.192 0.588
Ni 0.884 0.884 0.433
Ni 0.588 0.588 0.192
Ni 0.567 0.116 0.116
Ni 0.433 0.884 0.884
Ni 0.116 0.116 0.567
Ni 0.412 0.808 0.412
Ni 0.808 0.412 0.412
Ni 0.412 0.412 0.808
Ni 0.192 0.588 0.588
Ni 0.884 0.433 0.884
La 0.361 0.361 0.361
La 0.639 0.639 0.639
Pt 0.000 0.000 0.000
Li 0.500 0.000 0.000
Li 0.000 0.500 0.000
Li 0.000 0.000 0.500

=====

Below is Y2Be2Pb after structural relaxation, with properties calculated at the GGA-PBE level.

Summary:
energy above the lowest structure with this stoichiometry	0.356	eV per atom
formation enthalpy at 0 K	0.167	eV/atom
space-group type	I4/mmm (139)

a b c (Å): 3.409 3.409 9.762
angles (deg): 79.94 79.94 90.00
Sites, in units of the cell vectors:
Pb 0.000 0.000 0.000
Be 0.750 0.250 0.500
Be 0.250 0.750 0.500
Y 0.621 0.621 0.758
Y 0.379 0.379 0.242

=====

Below is Tb5YHo6 after structural relaxation, with properties calculated at the GGA-PBE level.

Summary:
formation enthalpy at 0 K	0.017	eV/atom
space-group type	C2/m (12)

a b c (Å): 11.740 6.141 6.135
angles (deg): 59.97 85.01 80.00
Sites, in units of the cell vectors:
Tb 0.500 0.167 0.667
Tb 0.000 0.333 0.333
Tb 0.000 0.667 0.667
Tb 0.500 0.500 0.000
Tb 0.500 0.833 0.333
Ho 0.250 0.917 0.666
Ho 0.750 0.417 0.666
Ho 0.250 0.583 0.334
Ho 0.750 0.749 0.000
Ho 0.250 0.251 0.000
Ho 0.750 0.083 0.334
Y 0.000 0.000 0.000

=====

Below is SrTa2Au after structural relaxation, with properties calculated at the GGA-PBE level.

Summary:
energy above the lowest structure with this stoichiometry	0.233	eV per atom
formation enthalpy at 0 K	0.453	eV/atom
space-group type	Cm (8)

a b c (Å): 5.187 5.187 6.465
angles (deg): 79.98 79.98 34.39
Sites, in units of the cell vectors:
Sr 0.763 0.763 0.722
Ta 0.972 0.972 0.118
Ta 0.239 0.239 0.199
Au 0.526 0.526 0.461

=====

Below is Y3Er4ScS8 after structural relaxation, with properties calculated at the GGA-PBE level.

Summary:
ΔE_f (raw)	-1.95	eV/atom
space-group type	R-3m (166)

a b c (Å): 7.735 7.736 7.735
angles (deg): 119.99 120.00 90.00
Sites, in units of the cell vectors:
Er 0.000 0.000 0.500
Er 0.500 0.000 0.000
Er 0.500 0.000 0.500
Er 0.000 0.000 0.000
S 0.248 0.245 0.496
S 0.246 0.750 0.004
S 0.754 0.250 0.508
S 0.754 0.250 0.996
S 0.243 0.250 0.996
S 0.757 0.750 0.004
S 0.246 0.750 0.492
S 0.752 0.755 0.504
Y 0.000 0.500 0.500
Y 0.500 0.500 0.000
Y 0.500 0.500 0.500
Sc 0.000 0.500 0.000

=====

Below is InPtSe4 after structural relaxation, with properties calculated at the GGA-PBE level.

Summary:
ΔE_f (raw)	0.66	eV/atom
space-group type	F-43m (216)

a b c (Å): 5.717 5.717 5.717
angles (deg): 60.00 60.00 60.00
Sites, in units of the cell vectors:
Se 0.372 0.372 0.372
Se 0.372 0.372 0.884
Se 0.884 0.372 0.372
Se 0.372 0.884 0.372
In 0.750 0.750 0.750
Pt 0.000 0.000 0.000

=====

Below is ScTlCl2 after structural relaxation, with properties calculated at the GGA-PBE level.

Summary:
energy above the lowest structure with this stoichiometry	0.236	eV per atom
ΔE_f (raw)	-1.07	eV/atom
space-group type	P4mm (99)

a b c (Å): 3.666 3.670 7.536
angles (deg): 90.00 90.00 90.00
Sites, in units of the cell vectors:
Cl 0.000 0.000 0.055
Cl 0.500 0.500 0.333
Sc 0.000 0.000 0.376
Tl 0.500 0.500 0.736

=====

Below is ScPt6Rh after structural relaxation, with properties calculated at the GGA-PBE level.

Summary:
formation enthalpy at 0 K	-0.489	eV/atom
space-group type	P4/mmm (123)

a b c (Å): 3.989 5.627 5.627
angles (deg): 90.00 90.00 90.00
Sites, in units of the cell vectors:
Pt 0.000 0.748 0.748
Pt 0.500 0.500 0.000
Pt 0.000 0.252 0.252
Pt 0.000 0.252 0.748
Pt 0.500 0.000 0.500
Pt 0.000 0.748 0.252
Rh 0.500 0.500 0.500
Sc 0.500 0.000 0.000

=====

Below is AsSeBr2Cl after structural relaxation, with properties calculated at the GGA-PBE level.

Summary:
energy above the lowest structure with this stoichiometry	0.623	eV per atom
ΔE_f (raw)	0.88	eV/atom
space-group type	P4/mmm (123)

a b c (Å): 5.182 5.182 5.377
angles (deg): 90.00 90.00 90.00
Sites, in units of the cell vectors:
Br 0.000 0.500 0.000
Br 0.500 0.000 0.000
Se 0.500 0.500 0.500
As 0.000 0.000 0.500
Cl 0.000 0.000 0.000

=====

Below is TbCoSn3 after structural relaxation, with properties calculated at the GGA-PBE level.

Summary:
formation enthalpy at 0 K	-0.366	eV/atom
space-group type	Pbcm (57)

a b c (Å): 5.993 6.139 12.330
angles (deg): 90.00 90.00 90.00
Sites, in units of the cell vectors:
Co 0.500 0.250 0.111
Co 0.500 0.750 0.889
Co 0.000 0.750 0.889
Co 0.000 0.250 0.111
Sn 0.250 0.976 0.221
Sn 0.750 0.915 0.048
Sn 0.250 0.085 0.952
Sn 0.250 0.585 0.048
Sn 0.500 0.750 0.494
Sn 0.250 0.476 0.779
Sn 0.750 0.415 0.952
Sn 0.500 0.250 0.506
Sn 0.000 0.250 0.506
Sn 0.000 0.750 0.494
Sn 0.750 0.024 0.779
Sn 0.750 0.524 0.221
Tb 0.750 0.023 0.299
Tb 0.250 0.477 0.299
Tb 0.750 0.523 0.701
Tb 0.250 0.977 0.701

=====

Below is CsKFe2Br8 after structural relaxation, with properties calculated at the GGA-PBE level.

Summary:
ΔE_f (raw)	-0.96	eV/atom
space-group type	C2/m (12)

a b c (Å): 6.959 6.959 11.574
angles (deg): 85.27 85.27 68.08
Sites, in units of the cell vectors:
Br 0.701 0.211 0.237
Br 0.674 0.674 0.407
Br 0.298 0.298 0.938
Br 0.299 0.789 0.763
Br 0.702 0.702 0.062
Br 0.789 0.299 0.763
Br 0.326 0.326 0.593
Br 0.211 0.701 0.237
Fe 0.422 0.422 0.764
Fe 0.578 0.578 0.236
K 0.000 0.000 0.000
Cs 0.000 0.000 0.500

=====

Below is LaMg3Pt after structural relaxation, with properties calculated at the GGA-PBE level.

Summary:
energy above the lowest structure with this stoichiometry	0.000	eV per atom
formation enthalpy at 0 K	-0.535	eV/atom
space-group type	P2_1/m (11)

a b c (Å): 5.679 6.008 7.638
angles (deg): 90.00 113.33 90.00
Sites, in units of the cell vectors:
Mg 0.172 0.948 0.392
Mg 0.297 0.693 0.078
Mg 0.737 0.193 0.482
Mg 0.297 0.202 0.078
Mg 0.862 0.448 0.169
Mg 0.737 0.702 0.482
Pt 0.162 0.948 0.748
Pt 0.872 0.448 0.812
La 0.310 0.448 0.664
La 0.725 0.948 0.897

=====

Below is Nd2NbGe4Pt3 after structural relaxation, with properties calculated at the GGA-PBE level.

Summary:
formation enthalpy at 0 K	-0.835	eV/atom
space-group type	P-4m2 (115)

a b c (Å): 4.296 4.296 10.733
angles (deg): 90.00 90.00 90.00
Sites, in units of the cell vectors:
Pt 0.500 0.000 0.874
Pt 0.000 0.000 0.500
Pt 0.000 0.500 0.126
Ge 0.000 0.500 0.359
Ge 0.500 0.000 0.641
Ge 0.000 0.000 0.000
Ge 0.500 0.500 0.000
Nd 0.000 0.500 0.761
Nd 0.500 0.000 0.239
Nb 0.500 0.500 0.500

=====

Below is TeIrI2F after structural relaxation, with properties calculated at the GGA-PBE level.

Summary:
energy above the lowest structure with this stoichiometry	0.000	eV per atom
ΔE_f (raw)	0.06	eV/atom
space-group type	P4/mmm (123)

a b c (Å): 5.460 4.183 5.460
angles (deg): 90.00 90.00 90.00
Sites, in units of the cell vectors:
F 0.000 0.500 0.000
I 0.500 0.000 0.000
I 0.000 0.000 0.500
Te 0.500 0.500 0.500
Ir 0.000 0.000 0.000

=====

Below is CaTl2In2 after structural relaxation, with properties calculated at the GGA-PBE level.

Summary:
energy above the lowest structure with this stoichiometry	0.053	eV per atom
formation enthalpy at 0 K	-0.091	eV/atom
space-group type	I4/mmm (139)

a b c (Å): 4.358 4.358 8.598
angles (deg): 75.32 75.32 90.00
Sites, in units of the cell vectors:
Ca 0.000 0.000 0.000
In 0.250 0.750 0.500
In 0.750 0.250 0.500
Tl 0.397 0.397 0.206
Tl 0.603 0.603 0.794

=====

Below is LaCeSm2Dy after structural relaxation, with properties calculated at the GGA-PBE level.

Summary:
formation enthalpy at 0 K	0.268	eV/atom
space-group type	P2/c (13)

a b c (Å): 6.321 8.571 6.228
angles (deg): 93.96 90.00 90.00
Sites, in units of the cell vectors:
Ce 0.459 0.000 0.750
Ce 0.541 0.000 0.250
La 0.000 0.000 0.000
La 0.000 0.000 0.500
Sm 0.312 0.310 0.229
Sm 0.312 0.690 0.271
Sm 0.688 0.310 0.729
Sm 0.688 0.690 0.771
Dy 0.173 0.500 0.750
Dy 0.827 0.500 0.250

=====

Below is MgTeF after structural relaxation, with properties calculated at the GGA-PBE level.

Summary:
energy above the lowest structure with this stoichiometry	0.081	eV per atom
ΔE_f (raw)	-1.84	eV/atom
space-group type	Pmm2 (25)

a b c (Å): 4.163 3.236 5.890
angles (deg): 90.00 90.00 90.00
Sites, in units of the cell vectors:
Te 0.000 0.500 0.420
F 0.500 0.000 0.909
Mg 0.500 0.500 0.747

=====

Below is AcSc4Ga3O12 after structural relaxation, with properties calculated at the GGA-PBE level.

Summary:
ΔE_f (raw)	-2.77	eV/atom
space-group type	Im-3 (204)

a b c (Å): 6.765 6.765 6.765
angles (deg): 109.47 109.47 109.47
Sites, in units of the cell vectors:
O 0.685 0.833 0.518
O 0.148 0.315 0.833
O 0.685 0.167 0.852
O 0.482 0.315 0.167
O 0.315 0.167 0.482
O 0.167 0.482 0.315
O 0.833 0.518 0.685
O 0.315 0.833 0.148
O 0.167 0.852 0.685
O 0.833 0.148 0.315
O 0.852 0.685 0.167
O 0.518 0.685 0.833
Sc 0.000 0.500 0.000
Sc 0.500 0.000 0.000
Sc 0.000 0.000 0.500
Sc 0.500 0.500 0.500
Ga 0.000 0.500 0.500
Ga 0.500 0.500 0.000
Ga 0.500 0.000 0.500
Ac 0.000 0.000 0.000

=====

Below is NaTc2Ir2 after structural relaxation, with properties calculated at the GGA-PBE level.

Summary:
energy above the lowest structure with this stoichiometry	0.000	eV per atom
formation enthalpy at 0 K	0.084	eV/atom
space-group type	P4/mbm (127)

a b c (Å): 7.790 7.790 2.698
angles (deg): 90.00 90.00 90.00
Sites, in units of the cell vectors:
Ir 0.668 0.832 0.500
Ir 0.332 0.168 0.500
Ir 0.832 0.332 0.500
Ir 0.168 0.668 0.500
Tc 0.120 0.380 0.000
Tc 0.880 0.620 0.000
Tc 0.620 0.120 0.000
Tc 0.380 0.880 0.000
Na 0.000 0.000 0.000
Na 0.500 0.500 0.000

=====

Below is MnNCl2 after structural relaxation, with properties calculated at the GGA-PBE level.

Summary:
energy above the lowest structure with this stoichiometry	0.000	eV per atom
ΔE_f (raw)	0.49	eV/atom
space-group type	R-3m (166)

a b c (Å): 10.398 10.398 10.398
angles (deg): 20.61 20.61 20.61
Sites, in units of the cell vectors:
Cl 0.121 0.121 0.121
Cl 0.879 0.879 0.879
Mn 0.500 0.500 0.500
N 0.000 0.000 0.000

=====

Below is Er2MnIn after structural relaxation, with properties calculated at the GGA-PBE level.

Summary:
energy above the lowest structure with this stoichiometry	0.058	eV per atom
formation enthalpy at 0 K	-0.105	eV/atom
space-group type	P4/mmm (123)

a b c (Å): 4.190 4.772 4.772
angles (deg): 90.00 90.00 90.00
Sites, in units of the cell vectors:
Er 0.000 0.000 0.500
Er 0.000 0.500 0.000
In 0.500 0.500 0.500
Mn 0.500 0.000 0.000

=====

Below is PuInSn after structural relaxation, with properties calculated at the GGA-PBE level.

Summary:
formation enthalpy at 0 K	-0.147	eV/atom
space-group type	I4mm (107)

a b c (Å): 3.551 3.551 6.756
angles (deg): 105.24 105.24 90.00
Sites, in units of the cell vectors:
Sn 0.673 0.673 0.346
In 0.326 0.326 0.651
Pu 0.001 0.001 0.003

=====

Below is BeIrS2Cl after structural relaxation, with properties calculated at the GGA-PBE level.

Summary:
energy above the lowest structure with this stoichiometry	0.000	eV per atom
ΔE_f (raw)	0.72	eV/atom
space-group type	P4/mmm (123)

a b c (Å): 4.395 4.395 4.029
angles (deg): 90.00 90.00 90.00
Sites, in units of the cell vectors:
Ir 0.500 0.500 0.500
Cl 0.000 0.000 0.500
S 0.500 0.000 0.000
S 0.000 0.500 0.000
Be 0.000 0.000 0.000

=====

Below is HfTaBe2W after structural relaxation, with properties calculated at the GGA-PBE level.

Summary:
formation enthalpy at 0 K	1.398	eV/atom
space-group type	P4/mmm (123)

a b c (Å): 4.346 4.860 4.346
angles (deg): 90.00 90.00 90.00
Sites, in units of the cell vectors:
Hf 0.000 0.500 0.000
Ta 0.500 0.500 0.500
Be 0.000 0.000 0.500
Be 0.500 0.000 0.000
W 0.000 0.000 0.000